## LiZr2SeS3 (PBE-GGA)

Data for a relaxed LiZr2SeS3 crystal.

Output
For the formation energy from raw total energies, the calculation gives -1.488 eV/atom. The calculation puts the electronic total energy at -45.29 eV/f.u. The total magnetization comes out at 0.000 μB per atom.

a b c (Å): 7.6366 7.6366 18.4523
angles (deg): 90.00 90.00 120.00
Space group R-3m (No. 166, hexagonal axes)
Symmetry-distinct sites (fractional):
Li  0.0000  0.0000  0.1099
Zr  0.0000  0.0000  0.5000
Zr  0.0000  0.5000  0.0000
Se  0.0000  0.0000  0.2471
S  0.0211  0.5106  0.2528

=====

## LiSiS (PBE-GGA)

Data for a relaxed LiSiS crystal.

Output
For the formation energy from raw total energies, the calculation gives -0.799 eV/atom. The calculation puts the electronic total energy at -13.86 eV/f.u. The total magnetization comes out at 0.000 μB per atom.

a b c (Å): 6.9622 4.0188 8.4940
angles (deg): 90.00 105.80 90.00
Space group C2/m (No. 12)
Symmetry-distinct sites (fractional):
Li  0.1219  0.0000  0.3706
Si  0.1818  0.5000  0.0457
S  0.2314  0.0000  0.6899